1.
DFT (PBE) results for a geometry-optimized FeTc4Te structure.

## Properties
Total energy: -8.20 eV per atom
ΔE_f (raw): 644 meV/atom
Spin magnetization: 14.44 Bohr magnetons per cell

Geometry as CIF:
```
data_FeTc4Te
_chemical_formula_sum 'Fe4 Tc16 Te4'
_cell_length_a 7.355
_cell_length_b 7.355
_cell_length_c 7.355
_cell_angle_alpha 90.00
_cell_angle_beta 90.00
_cell_angle_gamma 90.00
_space_group_name_H-M_alt 'F -4 3 m'
_space_group_IT_number 216
_space_group_name_Hall 'F -4 2 3'
loop_
_atom_site_label
_atom_site_fract_x
_atom_site_fract_y
_atom_site_fract_z
_atom_site_occupancy
Fe1 0.000 0.000 0.000 1
Tc1 0.125 0.125 0.625 1
Te1 0.250 0.250 0.250 1
```

2.
DFT (PBE) results for a geometry-optimized FeTcTe structure.

## Properties
ΔE to the lowest computed polymorph: 191 meV/atom
Total energy: -7.05 eV per atom
ΔE_f (raw): 272 meV/atom
Spin magnetization: 11.27 Bohr magnetons per cell

Geometry as CIF:
```
data_FeTcTe
_chemical_formula_sum 'Fe4 Tc4 Te4'
_cell_length_a 6.071
_cell_length_b 6.071
_cell_length_c 6.071
_cell_angle_alpha 90.00
_cell_angle_beta 90.00
_cell_angle_gamma 90.00
_space_group_name_H-M_alt 'F -4 3 m'
_space_group_IT_number 216
_space_group_name_Hall 'F -4 2 3'
loop_
_atom_site_label
_atom_site_fract_x
_atom_site_fract_y
_atom_site_fract_z
_atom_site_occupancy
Fe1 0.000 0.000 0.000 1
Tc1 0.250 0.250 0.750 1
Te1 0.000 0.000 0.500 1
```

3.
DFT (PBE) results for a geometry-optimized FeTcTe structure.

## Properties
ΔE to the lowest computed polymorph: 47 meV/atom
Total energy: -7.20 eV per atom
ΔE_f (raw): 128 meV/atom
Spin magnetization: 3.78 Bohr magnetons per cell

Geometry as CIF:
```
data_FeTcTe
_chemical_formula_sum 'Fe2 Tc2 Te2'
_cell_length_a 3.276
_cell_length_b 4.565
_cell_length_c 8.907
_cell_angle_alpha 81.31
_cell_angle_beta 89.64
_cell_angle_gamma 68.99
_space_group_name_H-M_alt 'P 1'
_space_group_IT_number 1
loop_
_space_group_symop_operation_xyz
'x,y,z'
loop_
_atom_site_label
_atom_site_fract_x
_atom_site_fract_y
_atom_site_fract_z
_atom_site_occupancy
Fe1 0.000 0.000 0.000 1
Fe2 0.279 0.445 0.910 1
Tc1 0.558 0.890 0.792 1
Tc2 0.831 0.348 0.700 1
Te1 0.098 0.820 0.533 1
Te2 0.729 0.538 0.135 1
```

4.
DFT (PBE) results for a geometry-optimized FeTc2Te structure.

## Properties
Total energy: -7.23 eV per atom
ΔE_f (raw): 859 meV/atom
Spin magnetization: 0.00 Bohr magnetons per cell

Geometry as CIF:
```
data_FeTc2Te
_chemical_formula_sum 'Fe4 Tc8 Te4'
_cell_length_a 5.496
_cell_length_b 5.496
_cell_length_c 11.324
_cell_angle_alpha 90.00
_cell_angle_beta 90.00
_cell_angle_gamma 90.00
_space_group_name_H-M_alt 'I -4 2 d'
_space_group_IT_number 122
_space_group_name_Hall 'I -4 2bw'
loop_
_atom_site_label
_atom_site_fract_x
_atom_site_fract_y
_atom_site_fract_z
_atom_site_occupancy
Fe1 0.000 0.000 0.000 1
Tc1 0.189 0.250 0.125 1
Te1 0.000 0.000 0.500 1
```